PBE Ho2ThAg2Sn2, optimized geometry; space group = R-3m, No. 166; theoretical density = 9.45 g cm⁻³; E = -4.668 eV per atom; density of states at the Fermi level = 4.10 states/eV/cell; M_tot = 0.000 μB/atom; energy of formation = -0.34 eV/atom
1.0
2.446 1.412 8.603
-2.446 1.412 8.603
0.000 -2.824 8.603
Ho Th Ag Sn
2 1 2 2
direct
0.133 0.133 0.133
0.867 0.867 0.867
0.000 0.000 0.000
0.438 0.438 0.438
0.562 0.562 0.562
0.264 0.264 0.264
0.736 0.736 0.736



PBE CaCoCuGe, optimized geometry; space group = P4/nmm, No. 129; theoretical density = 5.25 g cm⁻³; E = -4.660 eV per atom; density of states at the Fermi level = 3.73 states/eV/cell; M_tot = 0.000 μB/atom; energy of formation = -0.20 eV/atom
1.0
3.819 0.000 0.000
0.000 3.819 0.000
0.000 0.000 10.195
Ca Co Cu Ge
2 2 2 2
direct
0.250 0.250 0.237
0.750 0.750 0.763
0.250 0.750 0.500
0.750 0.250 0.500
0.250 0.750 0.000
0.750 0.250 0.000
0.250 0.250 0.629
0.750 0.750 0.371



What is the M_tot in the first record?
0.000 μB/atom



Which formula does entry 2 have?
CaCoCuGe